# 1
This record from Alexandria via LeMat-Bulk describes a relaxed structure of NaCaNb. The functional is PBE.

abc: 5.6613 18.1255 3.4518
angles: 90.00 90.00 90.00
Space group Cmcm (No. 63)
One atom of each set of equivalent atoms:
Na1 0.0000 0.2153 0.2500 (multiplicity 4)
Ca1 0.0000 0.4140 0.7500 (multiplicity 4)
Nb1 0.0000 0.0514 0.7500 (multiplicity 4)

Output
- VASP energy: -12.0 eV/f.u.
- Formation energy from the elements: 454 meV/atom
- Offset from the most stable computed form: 0.2663 eV per atom
- Magnetization: 0.0 μB/f.u.

---

# 2
This record from Alexandria via LeMat-Bulk describes a relaxed structure of Ce3Th2Tl2. The functional is PBE.

abc: 11.0466 4.6297 7.9323
angles: 90.00 95.47 90.00
Space group C2/m (No. 12)
One atom of each set of equivalent atoms:
Ce1 0.0000 0.0000 0.0000 (multiplicity 2)
Ce2 0.2218 0.5000 0.1290 (multiplicity 4)
Th1 0.1418 0.0000 0.4207 (multiplicity 4)
Tl1 0.0719 0.5000 0.7218 (multiplicity 4)

Output
- VASP energy: -37.8 eV/f.u.
- Formation energy from the elements: -60 meV/atom
- Magnetization: 2.1 μB/f.u.

---

# 3
This record from Alexandria via LeMat-Bulk describes a relaxed structure of HfGaSn3. The functional is PBE.

abc: 5.5284 5.5284 5.5284
angles: 90.00 90.00 90.00
Space group Pm-3m (No. 221)
One atom of each set of equivalent atoms:
Hf1 0.0000 0.0000 0.0000 (multiplicity 1)
Ga1 0.5000 0.5000 0.5000 (multiplicity 1)
Sn1 0.0000 0.0000 0.5000 (multiplicity 3)

Output
- VASP energy: -23.2 eV/f.u.
- Formation energy from the elements: 348 meV/atom
- Offset from the most stable computed form: 0.0000 eV per atom
- Magnetization: 0.0 μB/f.u.

---

# 4
This record from Alexandria via LeMat-Bulk describes a relaxed structure of ErNbAs. The functional is PBE.

abc: 4.1646 20.4505 3.7972
angles: 90.00 90.00 90.00
Space group Cmcm (No. 63)
One atom of each set of equivalent atoms:
Er1 0.0000 0.0736 0.2500 (multiplicity 4)
Nb1 0.0000 0.2457 0.2500 (multiplicity 4)
As1 0.0000 0.3367 0.7500 (multiplicity 4)

Output
- VASP energy: -20.1 eV/f.u.
- Formation energy from the elements: -271 meV/atom
- Magnetization: 0.0 μB/f.u.

---

# 5
This record from Alexandria via LeMat-Bulk describes a relaxed structure of Ho3Th2Sc4. The functional is PBE.

abc: 6.6107 14.7681 5.3873
angles: 90.00 90.00 90.00
Space group Pnnm (No. 58)
One atom of each set of equivalent atoms:
Ho1 0.0000 0.0000 0.0000 (multiplicity 2)
Ho2 0.1089 0.3317 0.5000 (multiplicity 4)
Th1 0.1549 0.5930 0.0000 (multiplicity 4)
Sc1 0.0996 0.2078 0.0000 (multiplicity 4)
Sc2 0.1316 0.8802 0.5000 (multiplicity 4)

Output
- VASP energy: -52.7 eV/f.u.
- Formation energy from the elements: 137 meV/atom
- Offset from the most stable computed form: 0.0245 eV per atom
- Magnetization: 0.0 μB/f.u.

---

# 6
This record from Alexandria via LeMat-Bulk describes a relaxed structure of CeZrZnSn. The functional is PBE.

abc: 7.2193 7.2193 7.2193
angles: 90.00 90.00 90.00
Space group F-43m (No. 216)
One atom of each set of equivalent atoms:
Ce1 0.0000 0.0000 0.0000 (multiplicity 4)
Zr1 0.0000 0.0000 0.5000 (multiplicity 4)
Zn1 0.2500 0.2500 0.7500 (multiplicity 4)
Sn1 0.2500 0.2500 0.2500 (multiplicity 4)

Output
- VASP energy: -20.9 eV/f.u.
- Formation energy from the elements: -288 meV/atom
- Magnetization: 1.9 μB/f.u.

---

# 7
This record from Alexandria via LeMat-Bulk describes a relaxed structure of NdMgGa2. The functional is PBE.

abc: 4.5570 4.5570 4.2698
angles: 90.00 90.00 90.00
Space group P4/mmm (No. 123)
One atom of each set of equivalent atoms:
Nd1 0.0000 0.0000 0.0000 (multiplicity 1)
Mg1 0.5000 0.5000 0.0000 (multiplicity 1)
Ga1 0.0000 0.5000 0.5000 (multiplicity 2)

Output
- VASP energy: -14.2 eV/f.u.
- Formation energy from the elements: -442 meV/atom
- Magnetization: 0.0 μB/f.u.

---

# 8
This record from Alexandria via LeMat-Bulk describes a relaxed structure of Zr2MnCrH. The functional is PBE.

abc: 4.5840 4.5840 3.3535
angles: 90.00 90.00 90.00
Space group P4/mmm (No. 123)
One atom of each set of equivalent atoms:
Zr1 0.0000 0.5000 0.0000 (multiplicity 2)
Mn1 0.0000 0.0000 0.5000 (multiplicity 1)
Cr1 0.5000 0.5000 0.5000 (multiplicity 1)
H1 0.0000 0.0000 0.0000 (multiplicity 1)

Output
- VASP energy: -39.4 eV/f.u.
- Magnetization: 2.4 μB/f.u.

---

# 9
This record from Alexandria via LeMat-Bulk describes a relaxed structure of Ac2Si3Ag. The functional is PBE.

abc: 8.5623 9.3033 14.7472
angles: 90.00 90.00 90.00
Space group Fmmm (No. 69)
One atom of each set of equivalent atoms:
Ac1 0.0000 0.2442 0.0000 (multiplicity 8)
Ac2 0.2500 0.2500 0.2500 (multiplicity 8)
Si1 0.0000 0.0000 0.1629 (multiplicity 8)
Si2 0.2439 0.0000 0.0814 (multiplicity 16)
Ag1 0.0000 0.0000 0.3344 (multiplicity 8)

Output
- Energy relative to the elements, uncorrected: -0.6007 eV/atom
- VASP energy: -30.9 eV/f.u.
- Magnetization: 0.0 μB/f.u.

---

# 10
This record from Alexandria via LeMat-Bulk describes a relaxed structure of CoPS2Br. The functional is PBE.

abc: 4.2526 4.2526 5.1955
angles: 90.00 90.00 90.00
Space group P4/mmm (No. 123)
One atom of each set of equivalent atoms:
Co1 0.0000 0.0000 0.0000 (multiplicity 1)
P1 0.0000 0.0000 0.5000 (multiplicity 1)
S1 0.0000 0.5000 0.0000 (multiplicity 2)
Br1 0.5000 0.5000 0.5000 (multiplicity 1)

Output
- Energy relative to the elements, uncorrected: 0.5553 eV/atom
- VASP energy: -19.7 eV/f.u.
- Offset from the most stable computed form: 0.0000 eV per atom
- Magnetization: 1.6 μB/f.u.

---

# 11
This record from Alexandria via LeMat-Bulk describes a relaxed structure of KBa2Se. The functional is PBE.

abc: 4.2783 4.4737 23.0564
angles: 90.00 90.00 90.00
Space group Imm2 (No. 44)
One atom of each set of equivalent atoms:
K1 0.0000 0.0000 0.0000 (multiplicity 2)
Ba1 0.0000 0.0000 0.6583 (multiplicity 2)
Ba2 0.0000 0.5000 0.8190 (multiplicity 2)
Se1 0.0000 0.5000 0.2702 (multiplicity 2)

Output
- Energy relative to the elements, uncorrected: -0.8378 eV/atom
- VASP energy: -11.8 eV/f.u.
- Magnetization: 0.2 μB/f.u.

---

# 12
This record from Alexandria via LeMat-Bulk describes a relaxed structure of MnSiHg. The functional is PBE.

abc: 3.9728 3.9728 4.1009
angles: 90.00 90.00 120.00
Space group P3m1 (No. 156)
One atom of each set of equivalent atoms:
Mn1 0.0000 0.0000 0.0000 (multiplicity 1)
Si1 0.6667 0.3333 0.2207 (multiplicity 1)
Hg1 0.3333 0.6667 0.5968 (multiplicity 1)

Output
- Energy relative to the elements, uncorrected: 0.4220 eV/atom
- VASP energy: -13.6 eV/f.u.
- Offset from the most stable computed form: 0.1226 eV per atom
- Magnetization: 3.4 μB/f.u.